[1]
Below is an optimized crystal structure of NaTe2F8, with properties calculated at the PBE level.

## Properties
Energy relative to the elements, uncorrected, eV/atom: -1.96
Space-group type: P-3m1 (164)

Lattice parameters (Å, degrees): 4.7204 7.0321 7.0321 120.00 90.00 90.00
Site moments in Bohr magnetons follow the coordinates.
Positions (direct):
1 Te 0.7364 0.6667 0.3333  0.16
2 Te 0.2636 0.3333 0.6667  0.16
3 F 0.7471 0.8317 0.6633  0.01
4 F 0.7471 0.3367 0.1683  0.01
5 F 0.7471 0.8317 0.1683  0.01
6 F 0.1903 0.6667 0.3333  0.03
7 F 0.2529 0.1683 0.3367  0.01
8 F 0.2529 0.6633 0.8317  0.01
9 F 0.2529 0.1683 0.8317  0.01
10 F 0.8097 0.3333 0.6667  0.03
11 Na 0.5000 0.0000 0.0000  0.00

---

[2]
Below is an optimized crystal structure of Na2TeF, with properties calculated at the PBE level.

## Properties
Energy above the lowest structure with this stoichiometry, meV per atom: 494.1
Energy relative to the elements, uncorrected, eV/atom: -1.09
Space-group type: Fm-3m (225)

Lattice parameters (Å, degrees): 5.1060 5.1060 5.1060 60.00 60.00 60.00
Site moments in Bohr magnetons follow the coordinates.
Positions (direct):
1 Na 0.7500 0.7500 0.7500  0.00
2 Na 0.2500 0.2500 0.2500  0.00
3 Te 0.5000 0.5000 0.5000  0.42
4 F 0.0000 0.0000 0.0000  0.16

---

[3]
Below is an optimized crystal structure of Na2TeF6, with properties calculated at the PBE level.

## Properties
Energy relative to the elements, uncorrected, eV/atom: -2.45
Space-group type: P4_2/mnm (136)

Lattice parameters (Å, degrees): 5.2179 5.2179 10.5192 90.00 90.00 90.00
Positions (direct):
1 F 0.7845 0.2155 0.5000
2 F 0.2845 0.2845 0.0000
3 F 0.8125 0.1875 0.1501
4 F 0.8125 0.1875 0.8499
5 F 0.3125 0.3125 0.3499
6 F 0.2155 0.7845 0.5000
7 F 0.3125 0.3125 0.6501
8 F 0.1875 0.8125 0.1501
9 F 0.7155 0.7155 0.0000
10 F 0.6875 0.6875 0.3499
11 F 0.1875 0.8125 0.8499
12 F 0.6875 0.6875 0.6501
13 Te 0.5000 0.5000 0.5000
14 Te 0.0000 0.0000 0.0000
15 Na 0.5000 0.5000 0.8356
16 Na 0.0000 0.0000 0.3356
17 Na 0.0000 0.0000 0.6644
18 Na 0.5000 0.5000 0.1644

---

[4]
Below is an optimized crystal structure of NaTeF5, with properties calculated at the PBE level.

## Properties
Energy above the lowest structure with this stoichiometry, meV per atom: 10.1
Energy relative to the elements, uncorrected, eV/atom: -2.37
Space-group type: Cc (9)

Lattice parameters (Å, degrees): 5.5811 5.5811 8.6142 73.70 73.70 76.85
Positions (direct):
1 F 0.3795 0.6869 0.5253
2 F 0.8500 0.6873 0.6173
3 F 0.8051 0.1094 0.8191
4 F 0.6869 0.3795 0.0253
5 F 0.7703 0.1673 0.4173
6 F 0.6873 0.8500 0.1173
7 F 0.1673 0.7703 0.9173
8 F 0.1094 0.8051 0.3191
9 F 0.2696 0.1976 0.3265
10 F 0.1976 0.2696 0.8265
11 Te 0.9550 0.0660 0.0043
12 Te 0.0660 0.9550 0.5043
13 Na 0.5133 0.5042 0.2841
14 Na 0.5042 0.5133 0.7841

---

[5]
Below is an optimized crystal structure of Na2TeF, with properties calculated at the PBE level.

## Properties
Energy above the lowest structure with this stoichiometry, meV per atom: 0.0
Energy relative to the elements, uncorrected, eV/atom: -1.58
Space-group type: R-3m (166)

Lattice parameters (Å, degrees): 3.5919 3.5919 7.6657 76.45 76.45 60.00
Positions (direct):
1 Te 0.5000 0.5000 0.5000
2 F 0.0000 0.0000 0.0000
3 Na 0.7256 0.7256 0.8233
4 Na 0.2744 0.2744 0.1767

---

[6]
Below is an optimized crystal structure of Na3TeF7, with properties calculated at the PBE level.

## Properties
Energy relative to the elements, uncorrected, eV/atom: -2.50
Space-group type: Cm (8)

Lattice parameters (Å, degrees): 5.5769 5.5769 6.4142 66.66 66.66 90.59
Positions (direct):
1 Na 0.7708 0.2435 0.4892
2 Na 0.2435 0.7708 0.4892
3 Na 0.4907 0.4907 0.0548
4 F 0.6008 0.6008 0.3149
5 F 0.8469 0.8469 0.7677
6 F 0.6412 0.1090 0.2372
7 F 0.3260 0.9790 0.7532
8 F 0.1610 0.1610 0.1303
9 F 0.9790 0.3260 0.7532
10 F 0.1090 0.6412 0.2372
11 Te 0.9562 0.9562 0.0231

---

[7]
Below is an optimized crystal structure of NaTeF2, with properties calculated at the PBE level.

## Properties
Energy above the lowest structure with this stoichiometry, meV per atom: 765.7
Energy relative to the elements, uncorrected, eV/atom: -1.11
Space-group type: Fm-3m (225)

Lattice parameters (Å, degrees): 4.5946 4.5946 4.5946 60.00 60.00 60.00
Site moments in Bohr magnetons follow the coordinates.
Positions (direct):
1 F 0.7500 0.7500 0.7500  0.09
2 F 0.2500 0.2500 0.2500  0.09
3 Na 0.0000 0.0000 0.0000  0.00
4 Te 0.5000 0.5000 0.5000  0.48

---

[8]
Below is an optimized crystal structure of NaTeF2, with properties calculated at the PBE level.

## Properties
Energy above the lowest structure with this stoichiometry, meV per atom: 0.0
Energy relative to the elements, uncorrected, eV/atom: -1.88
Space-group type: R-3m (166)

Lattice parameters (Å, degrees): 7.0597 7.0597 7.0597 28.84 28.84 28.84
Positions (direct):
1 Na 0.5000 0.5000 0.5000
2 Te 0.0000 0.0000 0.0000
3 F 0.1082 0.1082 0.1082
4 F 0.8918 0.8918 0.8918

---

[9]
Below is an optimized crystal structure of Na12Te3F5, with properties calculated at the PBE level.

## Properties
Energy relative to the elements, uncorrected, eV/atom: -1.66
Space-group type: Ia-3d (230)

Lattice parameters (Å, degrees): 13.5830 13.5830 13.5830 109.47 109.47 109.47
Positions (direct):
1 F 0.6250 0.8750 0.2500
2 F 0.1250 0.3750 0.2500
3 F 0.7500 0.1250 0.8750
4 F 0.0000 0.0000 0.5000
5 F 0.2500 0.3750 0.6250
6 F 0.3750 0.1250 0.7500
7 F 0.6250 0.7500 0.8750
8 F 0.0000 0.5000 0.0000
9 F 0.5000 0.5000 0.0000
10 F 0.1250 0.7500 0.3750
11 F 0.8750 0.6250 0.7500
12 F 0.5000 0.0000 0.5000
13 F 0.2500 0.8750 0.1250
14 F 0.5000 0.0000 0.0000
15 F 0.0000 0.0000 0.0000
16 F 0.8750 0.2500 0.6250
17 F 0.3750 0.2500 0.1250
18 F 0.5000 0.5000 0.5000
19 F 0.0000 0.5000 0.5000
20 F 0.7500 0.6250 0.3750
21 Na 0.4830 0.8002 0.8838
22 Na 0.0170 0.6162 0.6998
23 Na 0.6162 0.0170 0.1998
24 Na 0.8838 0.3002 0.4830
25 Na 0.0837 0.1828 0.1998
26 Na 0.4163 0.1162 0.5991
27 Na 0.9830 0.5991 0.1828
28 Na 0.5170 0.3172 0.9009
29 Na 0.1828 0.0837 0.6998
30 Na 0.8838 0.5837 0.9009
31 Na 0.5837 0.6998 0.6828
32 Na 0.8172 0.9163 0.3002
33 Na 0.4009 0.3838 0.5837
34 Na 0.3002 0.8838 0.9830
35 Na 0.3002 0.4163 0.8172
36 Na 0.6828 0.4830 0.5991
37 Na 0.1162 0.4163 0.0991
38 Na 0.3838 0.4009 0.0837
39 Na 0.5170 0.1998 0.1162
40 Na 0.4830 0.6828 0.0991
41 Na 0.9163 0.8172 0.8002
42 Na 0.6998 0.1162 0.0170
43 Na 0.6998 0.5837 0.1828
44 Na 0.5991 0.9830 0.6828
45 Na 0.0170 0.4009 0.8172
46 Na 0.6162 0.5991 0.9163
47 Na 0.3838 0.9830 0.8002
48 Na 0.4163 0.3002 0.3172
49 Na 0.9009 0.8172 0.5170
50 Na 0.1998 0.6828 0.0837
51 Na 0.9009 0.0837 0.8838
52 Na 0.5991 0.6162 0.4163
53 Na 0.3172 0.8002 0.4163
54 Na 0.1828 0.0991 0.9830
55 Na 0.0837 0.9009 0.3838
56 Na 0.3172 0.5170 0.4009
57 Na 0.8002 0.4830 0.3838
58 Na 0.1162 0.6998 0.5170
59 Na 0.5837 0.8838 0.4009
60 Na 0.1998 0.5170 0.6162
61 Na 0.8172 0.9009 0.0170
62 Na 0.9163 0.0991 0.6162
63 Na 0.9830 0.3838 0.3002
64 Na 0.8002 0.3172 0.9163
65 Na 0.0991 0.9163 0.1162
66 Na 0.6828 0.1998 0.5837
67 Na 0.4009 0.0170 0.3172
68 Na 0.0991 0.1828 0.4830
69 Te 0.8750 0.1250 0.2500
70 Te 0.1250 0.2500 0.8750
71 Te 0.7500 0.8750 0.6250
72 Te 0.6250 0.2500 0.3750
73 Te 0.3750 0.6250 0.2500
74 Te 0.2500 0.6250 0.8750
75 Te 0.7500 0.3750 0.1250
76 Te 0.3750 0.7500 0.6250
77 Te 0.2500 0.1250 0.3750
78 Te 0.1250 0.8750 0.7500
79 Te 0.6250 0.3750 0.7500
80 Te 0.8750 0.7500 0.1250

---

[10]
Below is an optimized crystal structure of Na2TlTeF, with properties calculated at the PBE level.

## Properties
Energy relative to the elements, uncorrected, eV/atom: -1.31
Space-group type: P4/mmm (123)

Lattice parameters (Å, degrees): 4.8908 4.8908 5.2768 90.00 90.00 90.00
Positions (direct):
1 Na 0.5000 0.0000 0.0000
2 Na 0.0000 0.5000 0.0000
3 Tl 0.0000 0.0000 0.5000
4 F 0.0000 0.0000 0.0000
5 Te 0.5000 0.5000 0.5000

---

[11]
Below is an optimized crystal structure of Na2ThF6, with properties calculated at the PBE level.

## Properties
Energy relative to the elements, uncorrected, eV/atom: -3.53
Space-group type: P4_2/mnm (136)

Lattice parameters (Å, degrees): 5.3301 5.3301 10.8350 90.00 90.00 90.00
Positions (direct):
1 F 0.6927 0.6927 0.8420
2 F 0.1927 0.8073 0.6580
3 F 0.6927 0.6927 0.1580
4 F 0.3073 0.3073 0.1580
5 F 0.2987 0.2987 0.5000
6 F 0.2013 0.7987 0.0000
7 F 0.3073 0.3073 0.8420
8 F 0.7013 0.7013 0.5000
9 F 0.7987 0.2013 0.0000
10 F 0.1927 0.8073 0.3420
11 F 0.8073 0.1927 0.6580
12 F 0.8073 0.1927 0.3420
13 Na 0.0000 0.0000 0.8354
14 Na 0.5000 0.5000 0.6646
15 Na 0.5000 0.5000 0.3354
16 Na 0.0000 0.0000 0.1646
17 Th 0.5000 0.5000 0.0000
18 Th 0.0000 0.0000 0.5000

---

[12]
Below is an optimized crystal structure of NaTh2F8, with properties calculated at the PBE level.

## Properties
Energy relative to the elements, uncorrected, eV/atom: -3.70
Space-group type: Cm (8)

Lattice parameters (Å, degrees): 4.5339 6.5100 6.5100 110.95 97.37 97.37
Site moments in Bohr magnetons follow the coordinates.
Positions (direct):
1 F 0.1695 0.4156 0.4156  0.01
2 F 0.4025 0.9493 0.6536  0.00
3 F 0.5227 0.0376 0.3170  0.00
4 F 0.4025 0.6536 0.9493  0.00
5 F 0.9908 0.7217 0.2389  0.00
6 F 0.7906 0.6752 0.6752  0.00
7 F 0.9908 0.2389 0.7217  0.00
8 F 0.5227 0.3170 0.0376  0.00
9 Th 0.5096 0.3287 0.6684  0.38
10 Th 0.5096 0.6684 0.3287  0.38
11 Na 0.1889 0.9599 0.9599  0.00